(1)
Below is an optimized crystal structure of WIBr2, with properties calculated at the PBE level.

Output
energy relative to the lowest polymorph listed for this composition = 156.2 kJ/mol of formula units
space-group type = I-42d, No. 122

Cell lengths 7.505, 7.505, 7.222 Å; angles 58.69, 58.69, 90.00 degrees
Atoms (fractional coordinates):
I: 0.500 0.500 0.000
I: 0.250 0.750 0.500
Br: 0.749 0.125 0.250
Br: 0.001 0.625 0.250
Br: 0.375 0.251 0.750
Br: 0.875 0.999 0.750
W: 0.000 0.000 0.000
W: 0.750 0.250 0.500


(2)
Below is an optimized crystal structure of W2IBr, with properties calculated at the PBE level.

Output
energy relative to the lowest polymorph listed for this composition = 125.9 kJ/mol of formula units
space-group type = Fm-3m, No. 225

Cell lengths 4.668, 4.668, 4.668 Å; angles 60.00, 60.00, 60.00 degrees
Atoms (fractional coordinates):
I: 0.500 0.500 0.500
Br: 0.000 0.000 0.000
W: 0.250 0.250 0.250
W: 0.750 0.750 0.750


(3)
Below is an optimized crystal structure of W2IBr, with properties calculated at the PBE level.

Output
energy relative to the lowest polymorph listed for this composition = 0.0 kJ/mol of formula units
space-group type = I-42d, No. 122

Cell lengths 4.504, 4.504, 9.190 Å; angles 75.82, 75.82, 90.00 degrees
Atoms (fractional coordinates):
I: 0.000 0.000 0.000
I: 0.750 0.250 0.500
Br: 0.500 0.500 0.000
Br: 0.250 0.750 0.500
W: 0.547 0.125 0.250
W: 0.203 0.625 0.250
W: 0.375 0.453 0.750
W: 0.875 0.797 0.750


(4)
Below is an optimized crystal structure of WIBr5, with properties calculated at the PBE level.

Output
E_tot = -47.98 eV for the cell shown
space-group type = C2/c, No. 15

Cell lengths 9.067, 9.067, 9.499 Å; angles 80.11, 68.89, 116.28 degrees
Atoms (fractional coordinates):
W: 0.000 0.000 0.000
W: 0.500 0.000 0.500
I: 0.414 0.664 0.250
I: 0.586 0.336 0.750
Br: 0.016 0.795 0.190
Br: 0.774 0.268 0.494
Br: 0.515 0.794 0.690
Br: 0.794 0.044 0.250
Br: 0.262 0.269 0.006
Br: 0.738 0.731 0.994
Br: 0.206 0.956 0.750
Br: 0.485 0.206 0.310
Br: 0.226 0.732 0.506
Br: 0.984 0.205 0.810


(5)
Below is an optimized crystal structure of WIBr4, with properties calculated at the PBE level.

Output
energy relative to the lowest polymorph listed for this composition = 0.0 kJ/mol of formula units
space-group type = P1, No. 1

Cell lengths 8.218, 11.867, 7.127 Å; angles 146.17, 127.27, 49.33 degrees
Atoms (fractional coordinates):
W: 0.538 0.462 0.927
I: 0.665 0.304 0.465
Br: 0.250 0.373 0.750
Br: 0.716 0.688 0.505
Br: 0.270 0.782 0.035
Br: 0.810 0.140 0.817


(6)
Below is an optimized crystal structure of WI3Br3, with properties calculated at the PBE level.

Output
E_tot = -23.44 eV for the cell shown
space-group type = R3m, No. 160

Cell lengths 7.393, 7.393, 7.393 Å; angles 109.93, 109.93, 109.93 degrees
Atoms (fractional coordinates):
W: 0.872 0.872 0.872
I: 0.020 0.318 0.020
I: 0.020 0.020 0.318
I: 0.318 0.020 0.020
Br: 0.565 0.565 0.842
Br: 0.842 0.565 0.565
Br: 0.565 0.842 0.565


(7)
Below is an optimized crystal structure of W3IBr, with properties calculated at the PBE level.

Output
energy relative to the lowest polymorph listed for this composition = 261.5 kJ/mol of formula units
space-group type = Pm-3m, No. 221

Cell lengths 4.957, 4.957, 4.957 Å; angles 90.00, 90.00, 90.00 degrees
Atoms (fractional coordinates):
I: 0.000 0.000 0.000
Br: 0.500 0.500 0.500
W: 0.000 0.500 0.000
W: 0.000 0.000 0.500
W: 0.500 0.000 0.000


(8)
Below is an optimized crystal structure of WIBr, with properties calculated at the PBE level.

Output
energy relative to the lowest polymorph listed for this composition = 66.3 kJ/mol of formula units
space-group type = P-1, No. 2

Cell lengths 3.107, 4.564, 13.251 Å; angles 98.54, 89.86, 89.52 degrees
Atoms (fractional coordinates):
W: 0.259 0.223 0.987
W: 0.741 0.777 0.013
I: 0.247 0.820 0.645
I: 0.753 0.180 0.355
Br: 0.746 0.418 0.849
Br: 0.254 0.582 0.151


(9)
Below is an optimized crystal structure of W4IBr7, with properties calculated at the PBE level.

Output
E_tot = -124.46 eV for the cell shown
space-group type = Pmn2_1, No. 31

Cell lengths 6.763, 9.236, 12.174 Å; angles 90.00, 90.00, 90.00 degrees
Atoms (fractional coordinates):
W: 0.555 0.742 0.805
W: 0.856 0.762 0.283
W: 0.356 0.238 0.217
W: 0.055 0.258 0.695
W: 0.055 0.258 0.305
W: 0.555 0.742 0.195
W: 0.856 0.762 0.717
W: 0.356 0.238 0.783
I: 0.723 0.831 0.500
I: 0.223 0.169 0.000
Br: 0.096 0.711 0.133
Br: 0.596 0.289 0.367
Br: 0.510 0.478 0.862
Br: 0.010 0.522 0.638
Br: 0.010 0.522 0.362
Br: 0.510 0.478 0.138
Br: 0.380 0.964 0.725
Br: 0.880 0.036 0.775
Br: 0.880 0.036 0.225
Br: 0.380 0.964 0.275
Br: 0.636 0.823 0.000
Br: 0.136 0.177 0.500
Br: 0.096 0.711 0.867
Br: 0.596 0.289 0.633


(10)
Below is an optimized crystal structure of WIBr2, with properties calculated at the PBE level.

Output
energy relative to the lowest polymorph listed for this composition = 0.0 kJ/mol of formula units
space-group type = R-3m, No. 166

Cell lengths 11.904, 11.904, 11.904 Å; angles 16.14, 16.14, 16.14 degrees
Atoms (fractional coordinates):
I: 0.000 0.000 0.000
Br: 0.885 0.885 0.885
Br: 0.115 0.115 0.115
W: 0.500 0.500 0.500


(11)
Below is an optimized crystal structure of WIBr2, with properties calculated at the PBE level.

Output
energy relative to the lowest polymorph listed for this composition = 410.9 kJ/mol of formula units
space-group type = Fm-3m, No. 225

Cell lengths 5.218, 5.218, 5.218 Å; angles 60.00, 60.00, 60.00 degrees
Atoms (fractional coordinates):
I: 0.000 0.000 0.000
Br: 0.250 0.250 0.250
Br: 0.750 0.750 0.750
W: 0.500 0.500 0.500


(12)
Below is an optimized crystal structure of W2I3Br4, with properties calculated at the PBE level.

Output
E_tot = -77.60 eV for the cell shown
space-group type = C2/c, No. 15

Cell lengths 8.920, 10.678, 10.678 Å; angles 76.27, 61.49, 61.49 degrees
Atoms (fractional coordinates):
W: 0.386 0.133 0.497
W: 0.114 0.503 0.867
W: 0.614 0.867 0.503
W: 0.886 0.497 0.133
I: 0.956 0.856 0.352
I: 0.544 0.648 0.144
I: 0.044 0.144 0.648
I: 0.456 0.352 0.856
I: 0.250 0.416 0.584
I: 0.750 0.584 0.416
Br: 0.443 0.935 0.354
Br: 0.057 0.646 0.065
Br: 0.557 0.065 0.646
Br: 0.943 0.354 0.935
Br: 0.002 0.259 0.237
Br: 0.498 0.763 0.741
Br: 0.998 0.741 0.763
Br: 0.502 0.237 0.259


Total magnetic moment across the listed records, respectively: 0.00, 0.00, 0.00, 2.52, 1.00, 0.14, 0.00, 0.00, 0.08, 0.00, 3.00, 2.03 μB/cell.